Entry from the Alexandria database: a relaxed structure of BaMnRe2 (PBE-GGA).

```
BaMnRe2
1.0
7.444 0.000 0.000
0.000 4.265 0.000
-2.454 0.000 6.128
Ba Mn Re
2 2 4
Direct
0.000 0.000 0.000
0.500 0.500 0.000
0.000 0.500 0.500
0.500 0.000 0.500
0.189 0.000 0.566
0.311 0.500 0.434
0.689 0.500 0.566
0.811 0.000 0.434
```

Properties
DOS(E_F): 5.47 states/eV/f.u.
calculated volume: 24.323 Å³/atom
DFT formation energy: 0.601 eV/atom
energy above the most stable polymorph in this dataset: 68 meV per atom